{
  "formula": "AlSiAu2",
  "functional": "SCAN",
  "state": "single point on PBEsol structure",
  "energy_ev_per_atom": -39.054,
  "e_form_raw_kj_per_mol_fu": -13,
  "crystal_system": "orthorhombic",
  "lattice_angstrom": [[2.7703, 0.0000, 0.0000], [0.0000, 3.5931, 0.0000], [0.0000, 0.0000, 6.5457]],
  "species": ["Al", "Si", "Au", "Au"],
  "frac_coords": [[0.0000, 0.0000, 0.0000], [0.0000, 0.0000, 0.5000], [0.5000, 0.5000, 0.2414], [0.5000, 0.5000, 0.7586]]
}


{
  "formula": "SmAl8SiAu4",
  "functional": "SCAN",
  "state": "single point on PBEsol structure",
  "energy_ev_per_atom": -28.821,
  "e_form_raw_kj_per_mol_fu": -1002,
  "crystal_system": "tetragonal",
  "lattice_angstrom": [[-3.0424, 3.0424, 14.2137], [3.0424, -3.0424, 14.2137], [3.0424, 3.0424, -14.2137]],
  "species": ["Sm", "Sm", "Al", "Al", "Al", "Al", "Al", "Al", "Al", "Al", "Al", "Al", "Al", "Al", "Al", "Al", "Al", "Al", "Si", "Si", "Au", "Au", "Au", "Au", "Au", "Au", "Au", "Au"],
  "frac_coords": [[0.2500, 0.7500, 0.5000], [0.7500, 0.2500, 0.5000], [0.0920, 0.0920, 0.4981], [0.0920, 0.5938, 0.0000], [0.1969, 0.1969, 0.5000], [0.1969, 0.6969, 0.0000], [0.3031, 0.3031, 0.5000], [0.3031, 0.8031, 0.0000], [0.4062, 0.4062, 0.4981], [0.4062, 0.9080, 0.0000], [0.5938, 0.0920, 0.0000], [0.5938, 0.5938, 0.5019], [0.6969, 0.1969, 0.0000], [0.6969, 0.6969, 0.5000], [0.8031, 0.3031, 0.0000], [0.8031, 0.8031, 0.5000], [0.9080, 0.4062, 0.0000], [0.9080, 0.9080, 0.5019], [0.2068, 0.2068, 0.0000], [0.7932, 0.7932, 0.0000], [0.0000, 0.0000, 0.0000], [0.1053, 0.6053, 0.5000], [0.2930, 0.2930, 0.0000], [0.3947, 0.8947, 0.5000], [0.5000, 0.5000, 0.0000], [0.6053, 0.1053, 0.5000], [0.7070, 0.7070, 0.0000], [0.8947, 0.3947, 0.5000]]
}


{
  "formula": "Th2Al4Si2Au3",
  "functional": "SCAN",
  "state": "single point on PBEsol structure",
  "energy_ev_per_atom": -41.799,
  "e_form_raw_kj_per_mol_fu": -911,
  "crystal_system": "orthorhombic",
  "lattice_angstrom": [[2.1287, -11.7687, 0.0000], [2.1287, 11.7687, 0.0000], [0.0000, 0.0000, 4.2410]],
  "species": ["Th", "Th", "Al", "Al", "Al", "Al", "Si", "Si", "Au", "Au", "Au"],
  "frac_coords": [[0.1780, 0.8220, 0.0000], [0.8220, 0.1780, 0.0000], [0.0626, 0.9374, 0.5000], [0.4370, 0.5630, 0.0000], [0.5630, 0.4370, 0.0000], [0.9374, 0.0626, 0.5000], [0.2735, 0.7265, 0.5000], [0.7265, 0.2735, 0.5000], [0.0000, 0.0000, 0.0000], [0.3763, 0.6237, 0.5000], [0.6237, 0.3763, 0.5000]]
}


- Number 3 is which compound?
  Th2Al4Si2Au3